Entry 1:
VIn3 after structural relaxation. Source: Alexandria, functional PBE-GGA.

a = 5.878 Å, b = 5.878 Å, c = 5.878 Å
α = 148.40°, β = 63.68°, γ = 126.27°
Element x y z (fractional)
1 V 0.000 0.000 0.000
2 In 0.394 0.667 0.727
3 In 0.548 0.048 0.500
4 In 0.940 0.667 0.273

Values from the calculation:
- V: 85 Å³/cell
- Space-group type: Imm2 (44)
- Energy of formation: 0.27 eV per atom

---

Entry 2:
V2In after structural relaxation. Source: Alexandria, functional PBE-GGA.

a = 5.175 Å, b = 5.175 Å, c = 5.175 Å
α = 60.00°, β = 60.00°, γ = 60.00°
Element x y z (fractional)
1 V 0.000 0.000 0.000
2 V 0.000 0.000 0.500
3 V 0.000 0.500 0.000
4 V 0.500 0.000 0.000
5 In 0.375 0.375 0.375
6 In 0.625 0.625 0.625

Values from the calculation:
- V: 98 Å³/cell
- Space-group type: Fd-3m (227)
- Energy of formation: 0.26 eV per atom

---

Entry 3:
V3In after structural relaxation. Source: Alexandria, functional PBE-GGA.

a = 4.430 Å, b = 4.430 Å, c = 4.430 Å
α = 60.00°, β = 60.00°, γ = 60.00°
Element x y z (fractional)
1 V 0.000 0.000 0.000
2 V 0.250 0.250 0.250
3 V 0.750 0.750 0.750
4 In 0.500 0.500 0.500

Values from the calculation:
- V: 61 Å³/cell
- Space-group type: Fm-3m (225)
- Energy of formation: 0.20 eV per atom

---

Entry 4:
VIn3 after structural relaxation. Source: Alexandria, functional PBE-GGA.

a = 6.021 Å, b = 6.021 Å, c = 5.319 Å
α = 90.00°, β = 90.00°, γ = 120.00°
Element x y z (fractional)
1 V 0.333 0.667 0.250
2 V 0.667 0.333 0.750
3 In 0.169 0.339 0.750
4 In 0.169 0.831 0.750
5 In 0.339 0.169 0.250
6 In 0.661 0.831 0.750
7 In 0.831 0.169 0.250
8 In 0.831 0.661 0.250

Values from the calculation:
- V: 167 Å³/cell
- Space-group type: P6_3/mmc (194)
- Energy of formation: 0.38 eV per atom

---

Entry 5:
VIn3W after structural relaxation. Source: Alexandria, functional PBE-GGA.

a = 5.255 Å, b = 5.255 Å, c = 5.255 Å
α = 90.00°, β = 90.00°, γ = 90.00°
Element x y z (fractional)
1 V 0.000 0.000 0.000
2 In 0.000 0.500 0.500
3 In 0.500 0.000 0.500
4 In 0.500 0.500 0.000
5 W 0.500 0.500 0.500

Values from the calculation:
- Distance to the lowest polymorph of the same formula: 0.0 meV per atom
- V: 145 Å³/cell
- Space-group type: Pm-3m (221)
- Energy of formation: 1.18 eV per atom

---

Entry 6:
VInW3 after structural relaxation. Source: Alexandria, functional PBE-GGA.

a = 4.596 Å, b = 4.596 Å, c = 4.596 Å
α = 90.00°, β = 90.00°, γ = 90.00°
Element x y z (fractional)
1 V 0.000 0.000 0.000
2 In 0.500 0.500 0.500
3 W 0.000 0.000 0.500
4 W 0.000 0.500 0.000
5 W 0.500 0.000 0.000

Values from the calculation:
- Distance to the lowest polymorph of the same formula: 0.0 meV per atom
- V: 97 Å³/cell
- Space-group type: Pm-3m (221)
- Energy of formation: 1.54 eV per atom

---

Entry 7:
VInW2 after structural relaxation. Source: Alexandria, functional PBE-GGA.

a = 10.238 Å, b = 10.238 Å, c = 10.238 Å
α = 158.43°, β = 158.43°, γ = 30.69°
Element x y z (fractional)
1 V 0.000 0.000 0.000
2 V 0.750 0.250 0.500
3 In 0.250 0.750 0.500
4 In 0.500 0.500 0.000
5 W 0.112 0.625 0.987
6 W 0.375 0.362 0.487
7 W 0.638 0.125 0.013
8 W 0.875 0.888 0.513

Values from the calculation:
- V: 145 Å³/cell
- Space-group type: I-42d (122)
- Energy of formation: 0.95 eV per atom

---

Entry 8:
VInW after structural relaxation. Source: Alexandria, functional PBE-GGA.

a = 6.533 Å, b = 5.723 Å, c = 4.912 Å
α = 75.37°, β = 57.95°, γ = 46.68°
Element x y z (fractional)
1 V 0.153 0.153 0.847
2 V 0.847 0.847 0.153
3 In 0.327 0.673 0.327
4 In 0.673 0.327 0.673
5 W 0.250 0.250 0.250
6 W 0.750 0.750 0.750

Values from the calculation:
- V: 111 Å³/cell
- Space-group type: Fmmm (69)
- Energy of formation: 0.61 eV per atom